(1)
Density functional theory data (PBE) for PrSm3Er2As6 after structural relaxation.

Lattice parameters (Å, degrees): 7.254 7.254 7.255 99.60 99.60 119.99
Atoms (fractional coordinates):
Er 0.667 0.333 0.000
As 0.918 0.577 0.753
As 0.259 0.259 0.755
As 0.082 0.423 0.247
Er 0.333 0.667 0.000
Sm 0.500 0.500 0.500
As 0.577 0.918 0.753
As 0.423 0.082 0.247
Sm 0.165 0.835 0.500
Sm 0.835 0.165 0.500
As 0.741 0.741 0.245
Pr 0.000 0.000 0.000

Summary:
Calculated total energy (eV/cell): -74.07
DOS at the Fermi energy (states/eV/f.u.): 1.72
Calculated formation energy (eV/atom): -1.509


(2)
Density functional theory data (PBE) for Pr2SmErAs4 after structural relaxation.

Lattice parameters (Å, degrees): 4.233 7.322 7.326 70.52 90.00 90.00
Atoms (fractional coordinates):
As 0.500 0.261 0.743
Pr 0.000 0.000 0.000
Pr 0.500 0.000 0.500
Er 0.000 0.500 0.500
As 0.000 0.742 0.749
As 0.000 0.258 0.251
Sm 0.500 0.500 0.000
As 0.500 0.739 0.257

Summary:
Calculated total energy (eV/cell): -49.46
DOS at the Fermi energy (states/eV/f.u.): 0.72
Calculated formation energy (eV/atom): -1.502


(3)
Density functional theory data (PBE) for TbPr2Er3As6 after structural relaxation.

Lattice parameters (Å, degrees): 4.171 8.333 9.318 102.86 102.93 90.00
Atoms (fractional coordinates):
As 0.667 0.074 0.334
Pr 0.834 0.668 0.668
As 0.336 0.409 0.673
As 0.333 0.926 0.666
Pr 0.166 0.332 0.332
Er 0.167 0.834 0.334
Er 0.500 0.500 0.000
Er 0.833 0.166 0.666
As 0.664 0.591 0.327
As 0.003 0.750 0.007
As 0.997 0.250 0.993
Tb 0.500 0.000 0.000

Summary:
Calculated total energy (eV/cell): -73.82
DOS at the Fermi energy (states/eV/f.u.): 1.78
Calculated formation energy (eV/atom): -1.504


(4)
Density functional theory data (PBE) for TbPrEr2As4 after structural relaxation.

Lattice parameters (Å, degrees): 4.158 7.192 7.196 70.52 90.00 90.00
Atoms (fractional coordinates):
As 0.000 0.240 0.258
Er 0.000 0.000 0.000
Er 0.500 0.000 0.500
Pr 0.500 0.500 0.000
As 0.500 0.243 0.748
Tb 0.000 0.500 0.500
As 0.000 0.760 0.742
As 0.500 0.757 0.252

Summary:
Calculated total energy (eV/cell): -49.21
DOS at the Fermi energy (states/eV/f.u.): 0.89
Calculated formation energy (eV/atom): -1.509


(5)
Density functional theory data (PBE) for Tb3PrEr2As6 after structural relaxation.

Lattice parameters (Å, degrees): 7.188 7.188 7.189 99.59 99.59 119.99
Atoms (fractional coordinates):
Tb 0.835 0.165 0.500
As 0.257 0.257 0.750
As 0.916 0.575 0.749
As 0.084 0.425 0.251
As 0.743 0.743 0.250
Pr 0.000 0.000 0.000
Er 0.667 0.333 0.000
Tb 0.165 0.835 0.500
Er 0.333 0.667 0.000
As 0.425 0.084 0.251
Tb 0.500 0.500 0.500
As 0.575 0.916 0.749

Summary:
Calculated total energy (eV/cell): -73.89
DOS at the Fermi energy (states/eV/f.u.): 1.80
Calculated formation energy (eV/atom): -1.517


(6)
Density functional theory data (PBE) for Pr2ErTe2As2 after structural relaxation.

Lattice parameters (Å, degrees): 5.289 5.289 8.797 107.49 107.49 90.00
Atoms (fractional coordinates):
Pr 0.385 0.385 0.770
As 0.500 0.000 0.000
As 0.000 0.500 0.000
Er 0.000 0.000 0.000
Te 0.190 0.190 0.379
Te 0.810 0.810 0.621
Pr 0.615 0.615 0.230

Summary:
Calculated total energy (eV/cell): -37.11
Formation energy (no corrections) (kJ/mol of formula units): -714
DOS at the Fermi energy (states/eV/f.u.): 5.73


(7)
Density functional theory data (PBE) for Pr2ErThAs4 after structural relaxation.

Lattice parameters (Å, degrees): 4.245 7.362 7.322 70.57 90.00 90.00
Atoms (fractional coordinates):
Pr 0.000 0.000 0.000
Pr 0.500 0.000 0.500
As 0.000 0.258 0.251
Er 0.000 0.500 0.500
Th 0.500 0.500 0.000
As 0.500 0.261 0.743
As 0.000 0.742 0.749
As 0.500 0.739 0.257

Summary:
Calculated total energy (eV/cell): -52.10
DOS at the Fermi energy (states/eV/f.u.): 1.51
Calculated formation energy (eV/atom): -1.495


(8)
Density functional theory data (PBE) for PrEr2ThAs4 after structural relaxation.

Lattice parameters (Å, degrees): 4.191 7.216 7.255 70.50 90.00 90.00
Atoms (fractional coordinates):
Er 0.500 0.000 0.500
Pr 0.500 0.500 0.000
Er 0.000 0.000 0.000
Th 0.000 0.500 0.500
As 0.500 0.761 0.249
As 0.000 0.762 0.743
As 0.000 0.238 0.257
As 0.500 0.239 0.751

Summary:
Calculated total energy (eV/cell): -51.88
DOS at the Fermi energy (states/eV/f.u.): 1.54
Calculated formation energy (eV/atom): -1.495


(9)
Density functional theory data (PBE) for PrEr3Th2As6 after structural relaxation.

Lattice parameters (Å, degrees): 4.189 8.335 9.328 102.57 102.97 90.00
Atoms (fractional coordinates):
As 0.998 0.259 0.996
As 0.002 0.741 0.004
Th 0.834 0.669 0.669
As 0.335 0.411 0.670
Er 0.165 0.834 0.331
Er 0.500 0.500 0.000
As 0.330 0.921 0.659
Th 0.166 0.331 0.331
As 0.670 0.079 0.341
Er 0.835 0.166 0.669
Pr 0.500 0.000 0.000
As 0.665 0.589 0.330

Summary:
Calculated total energy (eV/cell): -78.97
DOS at the Fermi energy (states/eV/f.u.): 3.91
Calculated formation energy (eV/atom): -1.480


(10)
Density functional theory data (PBE) for Pr3ErTh2As6 after structural relaxation.

Lattice parameters (Å, degrees): 4.259 8.508 9.525 103.18 102.92 90.00
Atoms (fractional coordinates):
As 0.999 0.759 0.999
As 0.668 0.580 0.337
Th 0.835 0.670 0.671
Th 0.165 0.330 0.329
Pr 0.500 0.500 0.000
Pr 0.834 0.166 0.667
Er 0.500 0.000 0.000
As 0.332 0.420 0.663
As 0.001 0.241 0.001
As 0.663 0.085 0.326
As 0.337 0.915 0.674
Pr 0.166 0.834 0.333

Summary:
Calculated total energy (eV/cell): -79.45
DOS at the Fermi energy (states/eV/f.u.): 4.16
Calculated formation energy (eV/atom): -1.484


(11)
Density functional theory data (PBE) for Pr2ErTh3As6 after structural relaxation.

Lattice parameters (Å, degrees): 4.250 8.474 9.489 102.75 102.94 90.00
Atoms (fractional coordinates):
As 0.336 0.922 0.673
As 0.335 0.414 0.670
Pr 0.834 0.667 0.668
Th 0.832 0.166 0.665
As 0.664 0.078 0.327
Th 0.500 0.500 0.000
Pr 0.166 0.333 0.332
Th 0.168 0.834 0.335
As 0.665 0.586 0.330
As 0.002 0.757 0.004
As 0.998 0.243 0.996
Er 0.500 0.000 0.000

Summary:
Calculated total energy (eV/cell): -81.77
DOS at the Fermi energy (states/eV/f.u.): 5.41
Calculated formation energy (eV/atom): -1.458


(12)
Density functional theory data (PBE) for Pr2Er3ThAs6 after structural relaxation.

Lattice parameters (Å, degrees): 4.194 8.368 9.344 102.64 102.97 90.00
Atoms (fractional coordinates):
As 0.668 0.075 0.336
As 0.997 0.254 0.994
As 0.332 0.925 0.664
Er 0.168 0.833 0.335
Th 0.500 0.000 0.000
Pr 0.832 0.664 0.665
As 0.337 0.408 0.674
Er 0.832 0.167 0.665
Er 0.500 0.500 0.000
As 0.003 0.746 0.006
Pr 0.168 0.336 0.335
As 0.663 0.592 0.326

Summary:
Calculated total energy (eV/cell): -76.57
DOS at the Fermi energy (states/eV/f.u.): 1.80
Calculated formation energy (eV/atom): -1.500


(13)
Density functional theory data (PBE) for Pr2Er3TmAs6 after structural relaxation.

Lattice parameters (Å, degrees): 4.160 8.311 9.292 102.90 102.93 90.00
Atoms (fractional coordinates):
As 0.336 0.409 0.673
Er 0.167 0.834 0.335
As 0.004 0.753 0.008
Er 0.833 0.166 0.665
Pr 0.165 0.331 0.331
As 0.996 0.247 0.992
As 0.334 0.927 0.669
As 0.664 0.591 0.327
Tm 0.500 0.000 0.000
Pr 0.835 0.669 0.669
As 0.666 0.073 0.331
Er 0.500 0.500 0.000

Summary:
Calculated total energy (eV/cell): -73.54
DOS at the Fermi energy (states/eV/f.u.): 1.77
Calculated formation energy (eV/atom): -1.493


(14)
Density functional theory data (PBE) for PrErTm2As4 after structural relaxation.

Lattice parameters (Å, degrees): 4.135 7.154 7.156 70.52 90.00 90.00
Atoms (fractional coordinates):
As 0.500 0.244 0.746
As 0.500 0.756 0.254
Pr 0.500 0.500 0.000
Er 0.000 0.500 0.500
Tm 0.500 0.000 0.500
As 0.000 0.239 0.260
Tm 0.000 0.000 0.000
As 0.000 0.761 0.740

Summary:
Calculated total energy (eV/cell): -48.81
DOS at the Fermi energy (states/eV/f.u.): 0.92
Calculated formation energy (eV/atom): -1.491


(15)
Density functional theory data (PBE) for Pr2ErTmAs4 after structural relaxation.

Lattice parameters (Å, degrees): 4.196 7.252 7.264 70.50 90.00 90.00
Atoms (fractional coordinates):
As 0.000 0.265 0.245
Pr 0.000 0.000 0.000
As 0.500 0.264 0.746
Tm 0.500 0.500 0.000
As 0.000 0.735 0.755
Er 0.000 0.500 0.500
As 0.500 0.736 0.254
Pr 0.500 0.000 0.500

Summary:
Calculated total energy (eV/cell): -49.14
DOS at the Fermi energy (states/eV/f.u.): 0.88
Calculated formation energy (eV/atom): -1.494


(16)
Density functional theory data (PBE) for Pr2ErUAs4 after structural relaxation.

Lattice parameters (Å, degrees): 4.176 7.249 7.272 109.14 90.00 90.00
Atoms (fractional coordinates):
Pr 0.000 0.500 0.500
As 0.500 0.756 0.766
Pr 0.500 0.000 0.500
As 0.000 0.252 0.767
Er 0.500 0.500 0.000
U 0.000 0.000 0.000
As 0.000 0.748 0.233
As 0.500 0.244 0.234

Summary:
Calculated total energy (eV/cell): -54.44
DOS at the Fermi energy (states/eV/f.u.): 8.47
Calculated formation energy (eV/atom): -1.304


(17)
Density functional theory data (PBE) for PrErU2As4 after structural relaxation.

Lattice parameters (Å, degrees): 4.104 7.114 7.269 109.01 90.00 90.00
Atoms (fractional coordinates):
As 0.000 0.255 0.746
Pr 0.000 0.000 0.000
As 0.500 0.260 0.260
Er 0.500 0.500 0.000
U 0.000 0.500 0.500
As 0.000 0.745 0.254
As 0.500 0.740 0.740
U 0.500 0.000 0.500

Summary:
Calculated total energy (eV/cell): -59.40
DOS at the Fermi energy (states/eV/f.u.): 8.08
Calculated formation energy (eV/atom): -1.110


(18)
Density functional theory data (PBE) for PrY2ErAs4 after structural relaxation.

Lattice parameters (Å, degrees): 4.164 7.208 7.206 70.53 90.00 90.00
Atoms (fractional coordinates):
Er 0.000 0.500 0.500
Pr 0.500 0.500 0.000
As 0.000 0.244 0.258
As 0.500 0.248 0.744
As 0.500 0.752 0.256
As 0.000 0.756 0.742
Y 0.000 0.000 0.000
Y 0.500 0.000 0.500

Summary:
Calculated total energy (eV/cell): -53.03
DOS at the Fermi energy (states/eV/f.u.): 0.89
Calculated formation energy (eV/atom): -1.521


(19)
Density functional theory data (PBE) for Pr2YEr3As6 after structural relaxation.

Lattice parameters (Å, degrees): 4.169 8.330 9.314 102.88 102.93 90.00
Atoms (fractional coordinates):
As 0.664 0.591 0.327
Pr 0.166 0.332 0.331
Er 0.833 0.166 0.666
As 0.336 0.409 0.673
Er 0.500 0.500 0.000
As 0.667 0.074 0.334
Y 0.500 0.000 0.000
Pr 0.834 0.668 0.669
As 0.333 0.926 0.666
As 0.004 0.750 0.007
As 0.996 0.250 0.993
Er 0.167 0.834 0.334

Summary:
Calculated total energy (eV/cell): -75.68
DOS at the Fermi energy (states/eV/f.u.): 1.79
Calculated formation energy (eV/atom): -1.506


(20)
Density functional theory data (PBE) for PrY3Er2As6 after structural relaxation.

Lattice parameters (Å, degrees): 7.175 7.175 7.177 99.60 99.60 120.00
Atoms (fractional coordinates):
Er 0.667 0.333 0.000
As 0.257 0.257 0.749
Y 0.500 0.500 0.500
Er 0.333 0.667 0.000
Y 0.165 0.835 0.500
As 0.425 0.084 0.252
Pr 0.000 0.000 0.000
As 0.743 0.743 0.251
As 0.575 0.916 0.748
Y 0.835 0.165 0.500
As 0.084 0.425 0.252
As 0.916 0.575 0.748

Summary:
Calculated total energy (eV/cell): -79.49
DOS at the Fermi energy (states/eV/f.u.): 1.83
Calculated formation energy (eV/atom): -1.525


| no. | calculated density (g/cm³) |
| --- | --- |
| 1 | 7.33 |
| 2 | 6.97 |
| 3 | 7.52 |
| 4 | 7.65 |
| 5 | 7.67 |
| 6 | 6.37 |
| 7 | 7.55 |
| 8 | 8.09 |
| 9 | 8.35 |
| 10 | 7.63 |
| 11 | 8.16 |
| 12 | 7.81 |
| 13 | 7.64 |
| 14 | 7.87 |
| 15 | 7.31 |
| 16 | 7.88 |
| 17 | 8.97 |
| 18 | 6.40 |
| 19 | 7.15 |
| 20 | 6.56 |